A relaxed AcSm2In2 crystal. Source: Alexandria, functional PBE.

abc: 3.659 3.641 12.363
angles: 81.53 90.00 90.00
Last column: magnetic moment on the atom in μB.
Sites, in units of the cell vectors:
Ac  0.000  0.000  0.000  0.00
Sm  0.000  0.184  0.631  0.13
Sm  0.000  0.816  0.369  0.13
In  0.500  0.399  0.201  0.00
In  0.500  0.601  0.799  0.00

## Properties
As for the energy above the most stable polymorph in this dataset: 0.000 eV/atom. The value obtained for the calculated volume is 32.6 Å³ per atom. The density comes out at 7.7 g/cm³. The calculation puts the formation energy at -0.24 eV per atom.

A relaxed AcSm6In crystal. Source: Alexandria, functional PBE.

abc: 5.043 5.043 10.392
angles: 90.00 90.00 90.00
Sites, in units of the cell vectors:
Sm  0.500  0.000  0.264
Sm  0.500  0.500  0.000
Sm  0.500  0.500  0.500
Sm  0.500  0.000  0.736
Sm  0.000  0.500  0.264
Sm  0.000  0.500  0.736
In  0.000  0.000  0.500
Ac  0.000  0.000  0.000

## Properties
The value obtained for the calculated volume is 33.0 Å³ per atom. The density comes out at 7.8 g/cm³. The calculation puts the formation energy at -0.09 eV per atom.

A relaxed AcSmIn crystal. Source: Alexandria, functional PBE.

abc: 3.980 5.481 5.481
angles: 120.00 90.00 90.00
Sites, in units of the cell vectors:
Sm  0.892  0.000  0.000
In  0.762  0.667  0.333
Ac  0.347  0.333  0.667

## Properties
As for the energy above the most stable polymorph in this dataset: 0.095 eV/atom. The value obtained for the calculated volume is 34.5 Å³ per atom. The density comes out at 7.9 g/cm³. The calculation puts the formation energy at -0.21 eV per atom.